Below is a relaxed structure of Nb2OsAu, with properties calculated at the PBE-GGA level.

Cell lengths 4.0679, 4.0679, 4.0436 Å; angles 90.00, 90.00, 90.00 degrees
Space group P4/mmm (No. 123)
One atom of each set of equivalent atoms:
Nb  0.0000  0.5000  0.0000 [2 per cell]
Os  0.0000  0.0000  0.5000 [1 per cell]
Au  0.5000  0.5000  0.5000 [1 per cell]

## Properties
Total magnetic moment in μB/f.u.: 0.000
E_form in eV/atom: -0.100
E in eV per atom: -8.762
DOS(E_F) in states/eV per cell: 3.11


Below is a relaxed structure of NbOs2Au, with properties calculated at the PBE-GGA level.

Cell lengths 4.0353, 4.0353, 3.8635 Å; angles 90.00, 90.00, 90.00 degrees
Space group P4/mmm (No. 123)
One atom of each set of equivalent atoms:
Nb  0.0000  0.0000  0.0000 [1 per cell]
Os  0.0000  0.5000  0.5000 [2 per cell]
Au  0.5000  0.5000  0.0000 [1 per cell]

## Properties
Total magnetic moment in μB/f.u.: 0.000
E_form in eV/atom: 0.076
E in eV per atom: -8.875
DOS(E_F) in states/eV per cell: 1.62


Below is a relaxed structure of Nb2OsAu, with properties calculated at the PBE-GGA level.

Cell lengths 7.3474, 7.3474, 5.5603 Å; angles 90.00, 90.00, 90.00 degrees
Space group I-42d (No. 122)
One atom of each set of equivalent atoms:
Nb  0.2175  0.7500  0.1250 [8 per cell]
Os  0.0000  0.0000  0.0000 [4 per cell]
Au  0.0000  0.0000  0.5000 [4 per cell]

## Properties
Total magnetic moment in μB/f.u.: 0.000
E_form in eV/atom: 0.362
E in eV per atom: -8.300
DOS(E_F) in states/eV per cell: 16.55


Below is a relaxed structure of NbOs2Au, with properties calculated at the PBE-GGA level.

Cell lengths 6.3692, 6.3692, 6.3692 Å; angles 90.00, 90.00, 90.00 degrees
Space group Fm-3m (No. 225)
One atom of each set of equivalent atoms:
Nb  0.0000  0.0000  0.0000 [4 per cell]
Os  0.2500  0.2500  0.2500 [8 per cell]
Au  0.0000  0.0000  0.5000 [4 per cell]

## Properties
Total magnetic moment in μB/f.u.: 0.000
E_form in eV/atom: 0.360
E in eV per atom: -8.591
DOS(E_F) in states/eV per cell: 23.87


Below is a relaxed structure of Nb2OsAu, with properties calculated at the PBE-GGA level.

Cell lengths 2.8895, 2.8895, 8.1789 Å; angles 90.00, 90.00, 90.00 degrees
Space group P4/mmm (No. 123)
One atom of each set of equivalent atoms:
Nb  0.0000  0.0000  0.2289 [2 per cell]
Os  0.5000  0.5000  0.0000 [1 per cell]
Au  0.5000  0.5000  0.5000 [1 per cell]

## Properties
Total magnetic moment in μB/f.u.: 0.000
E_form in eV/atom: -0.140
E in eV per atom: -8.802
DOS(E_F) in states/eV per cell: 3.18


Below is a relaxed structure of NbOsAu, with properties calculated at the PBE-GGA level.

Cell lengths 2.8246, 2.8275, 13.8889 Å; angles 94.27, 92.77, 113.08 degrees
Space group P-1 (No. 2)
One atom of each set of equivalent atoms:
Nb  0.2083  0.2053  0.4128 [2 per cell]
Os  0.3656  0.3751  0.7414 [2 per cell]
Au  0.2223  0.8686  0.0879 [2 per cell]

## Properties
Total magnetic moment in μB/f.u.: 0.000
E_form in eV/atom: 0.181
E in eV per atom: -8.011
DOS(E_F) in states/eV per cell: 4.52


Below is a relaxed structure of NbOs3Au, with properties calculated at the PBE-GGA level.

Cell lengths 4.7475, 4.7475, 4.7475 Å; angles 90.00, 90.00, 90.00 degrees
Space group Pm-3m (No. 221)
One atom of each set of equivalent atoms:
Nb  0.0000  0.0000  0.0000 [1 per cell]
Os  0.0000  0.0000  0.5000 [3 per cell]
Au  0.5000  0.5000  0.5000 [1 per cell]

## Properties
Total magnetic moment in μB/f.u.: 2.973
E_form in eV/atom: 2.322
E in eV per atom: -7.085
DOS(E_F) in states/eV per cell: 6.00


Below is a relaxed structure of Nb6OsAu, with properties calculated at the PBE-GGA level.

Cell lengths 5.2097, 5.2097, 5.2097 Å; angles 90.00, 90.00, 90.00 degrees
Space group Pm-3 (No. 200)
One atom of each set of equivalent atoms:
Nb  0.0000  0.2546  0.5000 [6 per cell]
Os  0.5000  0.5000  0.5000 [1 per cell]
Au  0.0000  0.0000  0.0000 [1 per cell]

## Properties
Total magnetic moment in μB/f.u.: 0.000
E_form in eV/atom: -0.189
E in eV per atom: -9.554
DOS(E_F) in states/eV per cell: 5.46